Record 1
# CeTlNiHg

A relaxed structure of CeTlNiHg (PBE, the Alexandria database).

## Properties
Its formation energy is -2.306 kcal/mol of atoms.

Unit cell a=5.010 b=5.010 c=5.010 alpha=60.00 beta=60.00 gamma=60.00
Sites, in units of the cell vectors:
Ce  0.000  0.000  0.000
Tl  0.500  0.500  0.500
Ni  0.750  0.750  0.750
Hg  0.250  0.250  0.250



Record 2
# Ce3Hg5O12

A relaxed structure of Ce3Hg5O12 (PBE, the Alexandria database).

## Properties
The uncorrected formation energy is -137 kJ/mol of atoms.

Unit cell a=11.668 b=11.668 c=11.668 alpha=109.47 beta=109.47 gamma=109.47
Sites, in units of the cell vectors:
Ce  0.125  0.250  0.375
Ce  0.125  0.375  0.750
Ce  0.250  0.375  0.125
Ce  0.250  0.875  0.625
Ce  0.375  0.125  0.250
Ce  0.375  0.750  0.125
Ce  0.625  0.250  0.875
Ce  0.625  0.875  0.750
Ce  0.750  0.125  0.375
Ce  0.750  0.625  0.875
Ce  0.875  0.625  0.250
Ce  0.875  0.750  0.625
Hg  0.000  0.000  0.000
Hg  0.000  0.000  0.500
Hg  0.000  0.500  0.000
Hg  0.000  0.500  0.500
Hg  0.125  0.750  0.875
Hg  0.125  0.875  0.250
Hg  0.250  0.125  0.875
Hg  0.250  0.625  0.375
Hg  0.375  0.250  0.625
Hg  0.375  0.625  0.750
Hg  0.500  0.000  0.000
Hg  0.500  0.000  0.500
Hg  0.500  0.500  0.000
Hg  0.500  0.500  0.500
Hg  0.625  0.375  0.250
Hg  0.625  0.750  0.375
Hg  0.750  0.375  0.625
Hg  0.750  0.875  0.125
Hg  0.875  0.125  0.750
Hg  0.875  0.250  0.125
O  0.061  0.228  0.143
O  0.061  0.333  0.918
O  0.082  0.643  0.415
O  0.082  0.939  0.667
O  0.085  0.728  0.667
O  0.085  0.857  0.418
O  0.143  0.061  0.228
O  0.143  0.582  0.915
O  0.167  0.228  0.585
O  0.167  0.439  0.582
O  0.228  0.143  0.061
O  0.228  0.585  0.167
O  0.272  0.333  0.915
O  0.272  0.439  0.357
O  0.333  0.915  0.272
O  0.333  0.918  0.061
O  0.357  0.272  0.439
O  0.357  0.585  0.918
O  0.415  0.082  0.643
O  0.415  0.833  0.772
O  0.418  0.085  0.857
O  0.418  0.833  0.561
O  0.439  0.357  0.272
O  0.439  0.582  0.167
O  0.561  0.418  0.833
O  0.561  0.643  0.728
O  0.582  0.167  0.439
O  0.582  0.915  0.143
O  0.585  0.167  0.228
O  0.585  0.918  0.357
O  0.643  0.415  0.082
O  0.643  0.728  0.561
O  0.667  0.082  0.939
O  0.667  0.085  0.728
O  0.728  0.561  0.643
O  0.728  0.667  0.085
O  0.772  0.415  0.833
O  0.772  0.857  0.939
O  0.833  0.561  0.418
O  0.833  0.772  0.415
O  0.857  0.418  0.085
O  0.857  0.939  0.772
O  0.915  0.143  0.582
O  0.915  0.272  0.333
O  0.918  0.061  0.333
O  0.918  0.357  0.585
O  0.939  0.667  0.082
O  0.939  0.772  0.857



Record 3
# Ce3HgO

A relaxed structure of Ce3HgO (PBE, the Alexandria database).

## Properties
The uncorrected formation energy is -120 kJ/mol of atoms.

Unit cell a=4.879 b=4.879 c=4.879 alpha=90.00 beta=90.00 gamma=90.00
Sites, in units of the cell vectors:
Ce  0.000  0.000  0.500
Ce  0.000  0.500  0.000
Ce  0.500  0.000  0.000
Hg  0.500  0.500  0.500
O  0.000  0.000  0.000



| no. | Fermi-level density of states (states/eV per cell) | energy (eV per cell) |
| --- | --- | --- |
| 1 | 5.250 | -14.78 |
| 2 | 28.818 | -429.12 |
| 3 | 10.866 | -29.26 |